# Zr2AsAu | Alexandria via LeMat-Bulk | SCAN | PBEsol geometry
data_Zr2AsAu
_chemical_formula_sum 'Zr4 As2 Au2'
_space_group_name_H-M_alt 'I -4 m 2'
_space_group_IT_number 119
_space_group_name_Hall 'I -4 -2'
_cell_length_a 3.974
_cell_length_b 3.974
_cell_length_c 9.521
_cell_angle_alpha 90.00
_cell_angle_beta 90.00
_cell_angle_gamma 90.00
loop_
_atom_site_label
_atom_site_fract_x
_atom_site_fract_y
_atom_site_fract_z
Zr1 0.000 0.000 0.000
Zr2 0.000 0.500 0.250
As1 0.000 0.000 0.500
Au1 0.000 0.500 0.750
# DFT total energy	-38.3993	eV per atom
# DOS at the Fermi energy	2.15	states/eV/f.u.

=====

# Ba2BAs | Alexandria via LeMat-Bulk | SCAN | PBEsol geometry
data_Ba2BAs
_chemical_formula_sum 'Ba8 B4 As4'
_space_group_name_H-M_alt 'F m -3 m'
_space_group_IT_number 225
_space_group_name_Hall '-F 4 2 3'
_cell_length_a 7.674
_cell_length_b 7.674
_cell_length_c 7.674
_cell_angle_alpha 90.00
_cell_angle_beta 90.00
_cell_angle_gamma 90.00
loop_
_atom_site_label
_atom_site_fract_x
_atom_site_fract_y
_atom_site_fract_z
Ba1 0.250 0.250 0.250
B1 0.000 0.000 0.000
As1 0.000 0.000 0.500
# DFT total energy	-26.6415	eV per atom
# DOS at the Fermi energy	2.80	states/eV/f.u.

=====

# BaBAs3 | Alexandria via LeMat-Bulk | SCAN | PBEsol geometry
data_BaBAs3
_chemical_formula_sum 'Ba1 B1 As3'
_space_group_name_H-M_alt 'P m -3 m'
_space_group_IT_number 221
_space_group_name_Hall '-P 4 2 3'
_cell_length_a 4.680
_cell_length_b 4.680
_cell_length_c 4.680
_cell_angle_alpha 90.00
_cell_angle_beta 90.00
_cell_angle_gamma 90.00
loop_
_atom_site_label
_atom_site_fract_x
_atom_site_fract_y
_atom_site_fract_z
Ba1 0.000 0.000 0.000
B1 0.500 0.500 0.500
As1 0.000 0.500 0.500
# DFT total energy	-21.3096	eV per atom
# DOS at the Fermi energy	4.14	states/eV/f.u.

=====

# Ba2B2AsH3F18 | Alexandria via LeMat-Bulk | SCAN | PBEsol geometry
data_Ba2B2AsH3F18
_chemical_formula_sum 'Ba4 B4 As2 H6 F36'
_space_group_name_H-M_alt 'P 63/m m c'
_space_group_IT_number 194
_space_group_name_Hall '-P 6c 2c'
_cell_length_a 6.9250
_cell_length_b 6.9250
_cell_length_c 17.2988
_cell_angle_alpha 90.00
_cell_angle_beta 90.00
_cell_angle_gamma 120.00
loop_
_atom_site_label
_atom_site_fract_x
_atom_site_fract_y
_atom_site_fract_z
Ba1 0.3333 0.6667 0.1243
B1 0.3333 0.6667 0.6102
As1 0.0000 0.0000 0.0000
H1 0.1102 0.2205 0.2500
F1 0.0000 0.0000 0.2500
F2 0.1121 0.5560 0.6374
F3 0.1193 0.2386 0.0590
F4 0.1957 0.3914 0.2500
F5 0.3333 0.6667 0.5285
# DFT total energy	-10.0905	eV per atom
# DOS at the Fermi energy	0.00	states/eV/f.u.

=====

# BaGaBAs2 | Alexandria via LeMat-Bulk | SCAN | PBEsol geometry
data_BaGaBAs2
_chemical_formula_sum 'Ba1 Ga1 B1 As2'
_space_group_name_H-M_alt 'P 4/m m m'
_space_group_IT_number 123
_space_group_name_Hall '-P 4 2'
_cell_length_a 4.512
_cell_length_b 4.512
_cell_length_c 5.319
_cell_angle_alpha 90.00
_cell_angle_beta 90.00
_cell_angle_gamma 90.00
loop_
_atom_site_label
_atom_site_fract_x
_atom_site_fract_y
_atom_site_fract_z
Ba1 0.000 0.000 0.000
Ga1 0.500 0.500 0.000
B1 0.000 0.000 0.500
As1 0.000 0.500 0.500
# DFT total energy	-20.3618	eV per atom
# DOS at the Fermi energy	1.94	states/eV/f.u.

=====

# BaBAsO5 | Alexandria via LeMat-Bulk | SCAN | PBEsol geometry
data_BaBAsO5
_chemical_formula_sum 'Ba3 B3 As3 O15'
_space_group_name_H-M_alt 'P 31 2 1'
_space_group_IT_number 152
_space_group_name_Hall 'P 31 2"'
_cell_length_a 7.3306
_cell_length_b 7.3306
_cell_length_c 7.1263
_cell_angle_alpha 90.00
_cell_angle_beta 90.00
_cell_angle_gamma 120.00
loop_
_atom_site_label
_atom_site_fract_x
_atom_site_fract_y
_atom_site_fract_z
Ba1 0.0000 0.6106 0.1667
B1 0.0000 0.0975 0.1667
As1 0.0000 0.6034 0.6667
O1 0.0000 0.0275 0.6667
O2 0.1461 0.8218 0.8124
O3 0.1509 0.5644 0.5142
# DFT total energy	-14.6919	eV per atom
# DOS at the Fermi energy	0.00	states/eV/f.u.